NaPmBiAs: optimized geometry, PBE.

Calculated values
Electronic total energy (eV per atom): -4.13
SG: F-43m (216)
Energy relative to the elements (eV per formula unit): -1.91

Unit cell a=5.3482 b=5.3482 c=5.3482 alpha=60.00 beta=60.00 gamma=60.00
Fractional coordinates of all 4 atoms:
Na  0.0000  0.0000  0.0000
Pm  0.5000  0.5000  0.5000
Bi  0.7500  0.7500  0.7500
As  0.2500  0.2500  0.2500